Compound: Pr3Sm2YAs6
Source: the Alexandria database
Functional: PBE-GGA
Structure: relaxed

Total magnetization: 0.00 μB/f.u.
Energy relative to the elements: -1514 meV per atom
Symmetry: C2/m, No. 12
Final energy: -76.308 eV per cell

Unit cell a=4.250 b=8.491 c=9.494 alpha=102.90 beta=102.93 gamma=90.00
Positions (direct):
Pr: 0.500 0.500 0.000
Pr: 0.833 0.166 0.666
Pr: 0.167 0.834 0.334
Sm: 0.834 0.667 0.668
Sm: 0.166 0.333 0.332
Y: 0.500 0.000 0.000
As: 0.336 0.914 0.672
As: 0.668 0.580 0.336
As: 0.664 0.086 0.328
As: 0.001 0.243 0.002
As: 0.999 0.757 0.998
As: 0.332 0.420 0.664



Compound: Pr2SmYAs4
Source: the Alexandria database
Functional: PBE-GGA
Structure: relaxed

Total magnetization: 0.00 μB/f.u.
Energy relative to the elements: -1516 meV per atom
Symmetry: P2/m, No. 10
Final energy: -51.469 eV per cell

Unit cell a=4.243 b=7.340 c=7.343 alpha=70.53 beta=90.00 gamma=90.00
Positions (direct):
Pr: 0.000 0.000 0.000
Pr: 0.500 0.000 0.500
Sm: 0.500 0.500 0.000
Y: 0.000 0.500 0.500
As: 0.000 0.743 0.750
As: 0.000 0.257 0.250
As: 0.500 0.741 0.255
As: 0.500 0.259 0.745



Compound: PrSm2Y3As6
Source: the Alexandria database
Functional: PBE-GGA
Structure: relaxed

Total magnetization: 0.00 μB/f.u.
Energy relative to the elements: -1533 meV per atom
Symmetry: C2/m, No. 12
Final energy: -79.907 eV per cell

Unit cell a=7.251 b=7.251 c=7.247 alpha=99.59 beta=99.59 gamma=119.99
Positions (direct):
Pr: 0.000 0.000 0.000
Sm: 0.333 0.667 0.000
Sm: 0.667 0.333 0.000
Y: 0.166 0.834 0.500
Y: 0.834 0.166 0.500
Y: 0.500 0.500 0.500
As: 0.914 0.578 0.743
As: 0.749 0.749 0.257
As: 0.086 0.422 0.257
As: 0.578 0.914 0.743
As: 0.251 0.251 0.743
As: 0.422 0.086 0.257



Compound: PrSm2ZrAs4
Source: the Alexandria database
Functional: PBE-GGA
Structure: relaxed

Total magnetization: 0.00 μB/f.u.
Energy relative to the elements: -1394 meV per atom
Symmetry: P2/m, No. 10
Final energy: -52.516 eV per cell

Unit cell a=4.142 b=7.180 c=7.168 alpha=109.26 beta=90.00 gamma=90.00
Positions (direct):
Pr: 0.500 0.500 0.000
Sm: 0.500 0.000 0.500
Sm: 0.000 0.500 0.500
Zr: 0.000 0.000 0.000
As: 0.500 0.233 0.237
As: 0.500 0.767 0.763
As: 0.000 0.238 0.754
As: 0.000 0.762 0.246



Compound: Pr2SmZrAs4
Source: the Alexandria database
Functional: PBE-GGA
Structure: relaxed

Total magnetization: 0.00 μB/f.u.
Energy relative to the elements: -1397 meV per atom
Symmetry: P2/m, No. 10
Final energy: -52.598 eV per cell

Unit cell a=4.161 b=7.207 c=7.219 alpha=109.25 beta=90.00 gamma=90.00
Positions (direct):
Pr: 0.500 0.000 0.500
Pr: 0.000 0.500 0.500
Sm: 0.500 0.500 0.000
Zr: 0.000 0.000 0.000
As: 0.500 0.233 0.230
As: 0.500 0.767 0.770
As: 0.000 0.244 0.764
As: 0.000 0.756 0.236



Compound: Pr3SnAs
Source: the Alexandria database
Functional: PBE-GGA
Structure: relaxed

Total magnetization: 0.57 μB/f.u.
Energy relative to the elements: -927 meV per atom
Symmetry: Pnma, No. 62
Final energy: -110.502 eV per cell

Unit cell a=4.470 b=8.740 c=15.951 alpha=90.00 beta=90.00 gamma=90.00
Positions (direct):
Pr: 0.250 0.352 0.531
Pr: 0.750 0.828 0.217
Pr: 0.750 0.518 0.891
Pr: 0.750 0.018 0.609
Pr: 0.750 0.648 0.469
Pr: 0.250 0.982 0.391
Pr: 0.250 0.852 0.969
Pr: 0.750 0.328 0.283
Pr: 0.250 0.672 0.717
Pr: 0.250 0.172 0.783
Pr: 0.750 0.148 0.031
Pr: 0.250 0.482 0.109
Sn: 0.750 0.893 0.814
Sn: 0.250 0.107 0.186
Sn: 0.750 0.393 0.686
Sn: 0.250 0.607 0.314
As: 0.250 0.312 0.947
As: 0.250 0.812 0.553
As: 0.750 0.188 0.447
As: 0.750 0.688 0.053



Compound: Pr4SnAs2
Source: the Alexandria database
Functional: PBE-GGA
Structure: relaxed

Total magnetization: 0.00 μB/f.u.
Energy relative to the elements: -1068 meV per atom
Symmetry: I-42d, No. 122
Final energy: -79.788 eV per cell

Unit cell a=8.071 b=8.071 c=8.071 alpha=109.11 beta=110.19 gamma=109.11
Positions (direct):
Pr: 0.139 0.889 0.379
Pr: 0.621 0.760 0.510
Pr: 0.000 0.611 0.740
Pr: 0.260 0.260 0.871
Pr: 0.611 0.740 0.000
Pr: 0.750 0.240 0.861
Pr: 0.490 0.111 0.250
Pr: 0.129 0.389 0.389
As: 0.875 0.120 0.495
As: 0.505 0.380 0.625
As: 0.375 0.880 0.755
As: 0.245 0.620 0.125
Sn: 0.000 0.000 0.000
Sn: 0.750 0.500 0.250



Compound: Pr2SnAs
Source: the Alexandria database
Functional: PBE-GGA
Structure: relaxed

Total magnetization: 0.00 μB/f.u.
Distance to the lowest polymorph of the same formula: 0 meV per atom
Energy relative to the elements: -1130 meV per atom
Symmetry: Cmcm, No. 63
Final energy: -45.464 eV per cell

Unit cell a=4.368 b=4.511 c=12.316 alpha=100.55 beta=90.00 gamma=90.00
Positions (direct):
Pr: 0.750 0.689 0.378
Pr: 0.250 0.311 0.622
Pr: 0.750 0.931 0.863
Pr: 0.250 0.069 0.137
Sn: 0.250 0.456 0.912
Sn: 0.750 0.544 0.088
As: 0.250 0.189 0.378
As: 0.750 0.811 0.622



Compound: Pr2SnAs
Source: the Alexandria database
Functional: PBE-GGA
Structure: relaxed

Total magnetization: 0.00 μB/f.u.
Distance to the lowest polymorph of the same formula: 78 meV per atom
Energy relative to the elements: -1052 meV per atom
Symmetry: R-3m, No. 166
Final energy: -22.420 eV per cell

Unit cell a=4.247 b=4.247 c=8.233 alpha=75.05 beta=75.05 gamma=60.00
Positions (direct):
Pr: 0.741 0.741 0.778
Pr: 0.259 0.259 0.222
As: 0.000 0.000 0.000
Sn: 0.500 0.500 0.500



Compound: Pr4SnAs3
Source: the Alexandria database
Functional: PBE-GGA
Structure: relaxed

Total magnetization: 0.00 μB/f.u.
Energy relative to the elements: -1214 meV per atom
Symmetry: Pm-3m, No. 221
Final energy: -46.782 eV per cell

Unit cell a=6.185 b=6.185 c=6.185 alpha=90.00 beta=90.00 gamma=90.00
Positions (direct):
Pr: 0.500 0.000 0.000
Pr: 0.000 0.500 0.000
Pr: 0.000 0.000 0.500
Pr: 0.500 0.500 0.500
As: 0.000 0.500 0.500
As: 0.500 0.000 0.500
As: 0.500 0.500 0.000
Sn: 0.000 0.000 0.000



Compound: Pr2SnAs
Source: the Alexandria database
Functional: PBE-GGA
Structure: relaxed

Total magnetization: 0.00 μB/f.u.
Distance to the lowest polymorph of the same formula: 153 meV per atom
Energy relative to the elements: -977 meV per atom
Symmetry: R3m, No. 160
Final energy: -22.119 eV per cell

Unit cell a=4.151 b=4.151 c=8.638 alpha=76.10 beta=76.10 gamma=60.00
Positions (direct):
Pr: 0.071 0.071 0.788
Pr: 0.263 0.263 0.212
Sn: 0.499 0.499 0.502
As: 0.667 0.667 0.998



Compound: Pr6SnTe3As2
Source: the Alexandria database
Functional: PBE-GGA
Structure: relaxed

Total magnetization: 0.00 μB/f.u.
Symmetry: C2/m, No. 12
Final energy: -68.200 eV per cell

Unit cell a=4.440 b=9.018 c=10.044 alpha=103.99 beta=102.77 gamma=90.00
Positions (direct):
Pr: 0.334 0.897 0.668
Pr: 0.673 0.568 0.347
Pr: 0.666 0.103 0.332
Pr: 0.007 0.248 0.015
Pr: 0.993 0.752 0.985
Pr: 0.327 0.432 0.653
Sn: 0.500 0.000 0.000
Te: 0.500 0.500 0.000
Te: 0.835 0.168 0.670
Te: 0.165 0.832 0.330
As: 0.832 0.664 0.664
As: 0.168 0.336 0.336



Compound: Pr4SnTe2As
Source: the Alexandria database
Functional: PBE-GGA
Structure: relaxed

Total magnetization: 0.00 μB/f.u.
Symmetry: P2/m, No. 10
Final energy: -44.723 eV per cell

Unit cell a=4.478 b=7.765 c=7.836 alpha=109.22 beta=90.00 gamma=90.00
Positions (direct):
Pr: 0.500 0.236 0.228
Pr: 0.500 0.764 0.772
Pr: 0.000 0.248 0.765
Pr: 0.000 0.752 0.235
Sn: 0.500 0.500 0.000
Te: 0.500 0.000 0.500
Te: 0.000 0.500 0.500
As: 0.000 0.000 0.000



Compound: Pr6Sn2Te3As
Source: the Alexandria database
Functional: PBE-GGA
Structure: relaxed

Total magnetization: 0.00 μB/f.u.
Symmetry: C2/m, No. 12
Final energy: -65.947 eV per cell

Unit cell a=4.504 b=9.075 c=10.118 alpha=103.32 beta=102.86 gamma=90.00
Positions (direct):
Pr: 0.341 0.914 0.681
Pr: 0.668 0.578 0.336
Pr: 0.659 0.086 0.319
Pr: 0.002 0.233 0.004
Pr: 0.998 0.767 0.996
Pr: 0.332 0.422 0.664
Sn: 0.834 0.668 0.668
Sn: 0.166 0.332 0.332
Te: 0.500 0.500 0.000
Te: 0.833 0.166 0.665
Te: 0.167 0.834 0.335
As: 0.500 0.000 0.000



Compound: SrPrAs2
Source: the Alexandria database
Functional: PBE-GGA
Structure: relaxed

Total magnetization: 0.00 μB/f.u.
Distance to the lowest polymorph of the same formula: 70 meV per atom
Energy relative to the elements: -1095 meV per atom
Symmetry: R3m, No. 160
Final energy: -20.141 eV per cell

Unit cell a=4.316 b=4.316 c=7.987 alpha=74.33 beta=74.33 gamma=60.00
Positions (direct):
Sr: 0.497 0.497 0.510
Pr: 0.669 0.669 0.992
As: 0.077 0.077 0.768
As: 0.257 0.257 0.230



Compound: SrPr4As5
Source: the Alexandria database
Functional: PBE-GGA
Structure: relaxed

Total magnetization: 0.00 μB/f.u.
Energy relative to the elements: -1369 meV per atom
Symmetry: Immm, No. 71
Final energy: -57.736 eV per cell

Unit cell a=4.326 b=6.135 c=11.525 alpha=105.44 beta=100.82 gamma=90.00
Positions (direct):
Sr: 0.000 0.000 0.000
Pr: 0.401 0.401 0.801
Pr: 0.799 0.799 0.598
Pr: 0.201 0.201 0.402
Pr: 0.599 0.599 0.199
As: 0.606 0.106 0.213
As: 0.801 0.301 0.602
As: 0.199 0.699 0.398
As: 0.000 0.500 0.000
As: 0.394 0.894 0.787



Compound: SrPr2As
Source: the Alexandria database
Functional: PBE-GGA
Structure: relaxed

Total magnetization: 0.00 μB/f.u.
Distance to the lowest polymorph of the same formula: 4 meV per atom
Energy relative to the elements: -626 meV per atom
Symmetry: R-3m, No. 166
Final energy: -18.395 eV per cell

Unit cell a=4.170 b=4.170 c=10.688 alpha=78.75 beta=78.75 gamma=60.00
Positions (direct):
Pr: 0.279 0.279 0.163
Pr: 0.721 0.721 0.837
Sr: 0.500 0.500 0.500
As: 0.000 0.000 0.000



Compound: SrPr2As
Source: the Alexandria database
Functional: PBE-GGA
Structure: relaxed

Total magnetization: 0.68 μB/f.u.
Distance to the lowest polymorph of the same formula: 0 meV per atom
Energy relative to the elements: -630 meV per atom
Symmetry: R3m, No. 160
Final energy: -18.409 eV per cell

Unit cell a=4.168 b=4.168 c=10.658 alpha=78.72 beta=78.72 gamma=60.00
Positions (direct):
Sr: 0.500 0.500 0.500
Pr: 0.055 0.055 0.836
Pr: 0.279 0.279 0.163
As: 0.666 0.666 0.001



Compound: SrPr5As6
Source: the Alexandria database
Functional: PBE-GGA
Structure: relaxed

Total magnetization: 0.00 μB/f.u.
Energy relative to the elements: -1394 meV per atom
Symmetry: C2/m, No. 12
Final energy: -70.205 eV per cell

Unit cell a=7.509 b=7.509 c=7.514 alpha=99.60 beta=99.60 gamma=120.02
Positions (direct):
Pr: 0.835 0.165 0.500
Pr: 0.667 0.333 0.000
Pr: 0.500 0.500 0.500
Pr: 0.333 0.667 0.000
Pr: 0.165 0.835 0.500
Sr: 0.000 0.000 0.000
As: 0.426 0.085 0.254
As: 0.915 0.574 0.746
As: 0.257 0.257 0.746
As: 0.743 0.743 0.254
As: 0.085 0.426 0.254
As: 0.574 0.915 0.746



Compound: SrPrAs2
Source: the Alexandria database
Functional: PBE-GGA
Structure: relaxed

Total magnetization: 0.00 μB/f.u.
Distance to the lowest polymorph of the same formula: 0 meV per atom
Energy relative to the elements: -1165 meV per atom
Symmetry: R-3m, No. 166
Final energy: -20.420 eV per cell

Unit cell a=4.357 b=4.357 c=7.749 alpha=73.67 beta=73.67 gamma=60.00
Positions (direct):
Pr: 0.000 0.000 0.000
Sr: 0.500 0.500 0.500
As: 0.256 0.256 0.233
As: 0.744 0.744 0.767



Compound: Sr3Pr2TaAs6
Source: the Alexandria database
Functional: PBE-GGA
Structure: relaxed

Total magnetization: 0.00 μB/f.u.
Energy relative to the elements: -1041 meV per atom
Symmetry: C2/m, No. 12
Final energy: -66.847 eV per cell

Unit cell a=7.322 b=7.322 c=7.579 alpha=99.39 beta=99.39 gamma=120.13
Positions (direct):
Sr: 0.173 0.827 0.500
Sr: 0.827 0.173 0.500
Sr: 0.500 0.500 0.500
Pr: 0.335 0.665 0.000
Pr: 0.665 0.335 0.000
Ta: 0.000 0.000 0.000
As: 0.927 0.624 0.780
As: 0.774 0.774 0.222
As: 0.073 0.376 0.220
As: 0.624 0.927 0.780
As: 0.226 0.226 0.778
As: 0.376 0.073 0.220



Compound: Sr2PrThAs4
Source: the Alexandria database
Functional: PBE-GGA
Structure: relaxed

Total magnetization: 0.00 μB/f.u.
Energy relative to the elements: -1264 meV per atom
Symmetry: P2/m, No. 10
Final energy: -44.275 eV per cell

Unit cell a=4.373 b=7.594 c=7.654 alpha=109.33 beta=90.00 gamma=90.00
Positions (direct):
Sr: 0.500 0.000 0.500
Sr: 0.000 0.500 0.500
Pr: 0.000 0.000 0.000
Th: 0.500 0.500 0.000
As: 0.500 0.248 0.231
As: 0.500 0.752 0.769
As: 0.000 0.262 0.771
As: 0.000 0.738 0.229



Compound: SrPrTh2As4
Source: the Alexandria database
Functional: PBE-GGA
Structure: relaxed

Total magnetization: 0.00 μB/f.u.
Energy relative to the elements: -1395 meV per atom
Symmetry: I-4m2, No. 119
Final energy: -51.062 eV per cell

Unit cell a=6.089 b=6.089 c=7.483 alpha=114.01 beta=114.01 gamma=90.00
Positions (direct):
Sr: 0.500 0.500 0.000
Pr: 0.750 0.250 0.500
Th: 0.250 0.750 0.500
Th: 0.000 0.000 0.000
As: 0.004 0.504 0.009
As: 0.496 0.996 0.991
As: 0.758 0.758 0.515
As: 0.242 0.242 0.485